! Th8NiTe3Os3 GGA-PBE optimized geometry; values from VASP
&SYSTEM
  ibrav = 0, nat = 15, ntyp = 4
/
ATOMIC_SPECIES
Te 127.60 Te.upf
Os 190.23 Os.upf
Th 232.04 Th.upf
Ni 58.69 Ni.upf
CELL_PARAMETERS angstrom
-6.422 -5.154 -1.432
6.881 -0.485 -4.724
0.549 -3.049 8.514
ATOMIC_POSITIONS crystal
Te 0.000 0.500 0.000
Os 0.000 0.500 0.500
Th 0.768 0.536 0.305
Th 0.731 0.963 0.695
Te 0.000 0.000 0.000
Th 0.735 0.469 0.703
Th 0.269 0.037 0.305
Th 0.265 0.531 0.297
Th 0.767 0.037 0.305
Os 0.500 0.500 0.500
Te 0.500 0.500 0.000
Th 0.233 0.963 0.695
Ni 0.000 0.000 0.500
Os 0.500 0.000 0.500
Th 0.232 0.464 0.695
! Total magnetic moment (μB per formula unit): 0.00
! Energy (eV per formula unit): -118.335
! Volume (Å³ per atom): 30.93
! Formation energy without anion corrections (eV per atom): -0.67

---

! Th8NiTe4Os3 GGA-PBE optimized geometry; values from VASP
&SYSTEM
  ibrav = 0, nat = 16, ntyp = 4
/
ATOMIC_SPECIES
Th 232.04 Th.upf
Te 127.60 Te.upf
Os 190.23 Os.upf
Ni 58.69 Ni.upf
CELL_PARAMETERS angstrom
-2.633 -7.563 -2.414
6.588 -3.863 4.918
-5.233 5.181 3.966
ATOMIC_POSITIONS crystal
Th 0.234 0.699 0.965
Th 0.766 0.301 0.532
Th 0.266 0.299 0.532
Th 0.269 0.301 0.035
Th 0.731 0.699 0.965
Te 0.500 0.000 0.500
Th 0.734 0.701 0.468
Os 0.500 0.500 0.000
Th 0.234 0.699 0.468
Ni 0.000 0.500 0.000
Te 0.500 0.000 0.000
Te 0.000 0.000 0.500
Th 0.766 0.301 0.035
Os 0.500 0.500 0.500
Os 0.000 0.500 0.500
Te 0.000 0.000 0.000
! Total magnetic moment (μB per formula unit): 0.00
! Energy (eV per formula unit): -124.689
! Volume (Å³ per atom): 29.13
! Formation energy without anion corrections (eV per atom): -0.83

---

! TlNi2TeOs GGA-PBE optimized geometry; values from VASP
&SYSTEM
  ibrav = 0, nat = 5, ntyp = 4
/
ATOMIC_SPECIES
Ni 58.69 Ni.upf
Tl 204.38 Tl.upf
Os 190.23 Os.upf
Te 127.60 Te.upf
CELL_PARAMETERS angstrom
4.666 0.000 0.000
0.000 5.575 0.000
0.000 0.000 4.666
ATOMIC_POSITIONS crystal
Ni 0.000 0.000 0.500
Tl 0.000 0.000 0.000
Os 0.500 0.500 0.500
Ni 0.500 0.000 0.000
Te 0.000 0.500 0.000
! Total magnetic moment (μB per formula unit): 2.98
! Energy (eV per formula unit): -17.790
! Volume (Å³ per atom): 24.27
! Formation energy without anion corrections (eV per atom): 2.10

---

! ThNiOs GGA-PBE optimized geometry; values from VASP
&SYSTEM
  ibrav = 0, nat = 3, ntyp = 3
/
ATOMIC_SPECIES
Os 190.23 Os.upf
Ni 58.69 Ni.upf
Th 232.04 Th.upf
CELL_PARAMETERS angstrom
-1.968 -0.088 2.876
-1.385 -3.025 -1.040
5.062 -0.766 1.329
ATOMIC_POSITIONS crystal
Os 0.292 0.292 0.583
Ni 0.710 0.710 0.419
Th 0.999 0.999 0.998
! Total magnetic moment (μB per formula unit): 0.00
! Energy (eV per formula unit): -24.239
! Volume (Å³ per atom): 18.96
! DFT formation energy (eV per atom): 0.064